(1)
A plane-wave DFT calculation with PBE was carried out for an optimized crystal structure of Li6AcAu12.

```
data_Li6AcAu12
_cell_length_a 11.8421
_cell_length_b 11.8421
_cell_length_c 8.6820
_cell_angle_alpha 90.00
_cell_angle_beta 90.00
_cell_angle_gamma 120.00
_symmetry_space_group_name_H-M 'R -3 m'
_symmetry_Int_Tables_number 166
_symmetry_space_group_name_Hall '-R 3 2"'
loop_
_atom_site_label
_atom_site_type_symbol
_atom_site_fract_x
_atom_site_fract_y
_atom_site_fract_z
_atom_site_occupancy
Li1 Li 0.0504 0.5252 0.2475 1
Ac1 Ac 0.0000 0.0000 0.0000 1
Au1 Au 0.0000 0.3805 0.5000 1
Au2 Au 0.0837 0.1675 0.3052 1
```

Output
formation energy from the elements = -39 kJ/mol of atoms



(2)
A plane-wave DFT calculation with PBE was carried out for an optimized crystal structure of Li6AcAu6.

```
data_Li6AcAu6
_cell_length_a 5.452
_cell_length_b 9.202
_cell_length_c 9.367
_cell_angle_alpha 90.00
_cell_angle_beta 90.00
_cell_angle_gamma 90.00
_symmetry_space_group_name_H-M 'I m m m'
_symmetry_Int_Tables_number 71
_symmetry_space_group_name_Hall '-I 2 2'
loop_
_atom_site_label
_atom_site_type_symbol
_atom_site_fract_x
_atom_site_fract_y
_atom_site_fract_z
_atom_site_occupancy
Li1 Li 0.000 0.240 0.000 1
Li2 Li 0.250 0.250 0.250 1
Ac1 Ac 0.000 0.500 0.500 1
Au1 Au 0.000 0.000 0.207 1
Au2 Au 0.000 0.162 0.500 1
Au3 Au 0.000 0.500 0.154 1
```

Output
formation energy from the elements = -48 kJ/mol of atoms



(3)
A plane-wave DFT calculation with PBE was carried out for an optimized crystal structure of Li3AcAu.

```
data_Li3AcAu
_cell_length_a 4.965
_cell_length_b 4.965
_cell_length_c 4.965
_cell_angle_alpha 90.00
_cell_angle_beta 90.00
_cell_angle_gamma 90.00
_symmetry_space_group_name_H-M 'P m -3 m'
_symmetry_Int_Tables_number 221
_symmetry_space_group_name_Hall '-P 4 2 3'
loop_
_atom_site_label
_atom_site_type_symbol
_atom_site_fract_x
_atom_site_fract_y
_atom_site_fract_z
_atom_site_occupancy
Li1 Li 0.000 0.000 0.500 1
Ac1 Ac 0.500 0.500 0.500 1
Au1 Au 0.000 0.000 0.000 1
```

Output
formation energy from the elements = -11 kJ/mol of atoms
distance to the lowest polymorph of the same formula = 191.9 meV/atom



(4)
A plane-wave DFT calculation with PBE was carried out for an optimized crystal structure of Li5Ac2Au3.

```
data_Li5Ac2Au3
_cell_length_a 4.391
_cell_length_b 27.796
_cell_length_c 7.661
_cell_angle_alpha 90.00
_cell_angle_beta 90.00
_cell_angle_gamma 90.00
_symmetry_space_group_name_H-M 'C m c 21'
_symmetry_Int_Tables_number 36
loop_
_symmetry_equiv_pos_as_xyz
'x,y,z'
'-x,-y,z+1/2'
'-x,y,z'
'x,-y,z+1/2'
'x+1/2,y+1/2,z'
'-x+1/2,-y+1/2,z+1/2'
'-x+1/2,y+1/2,z'
'x+1/2,-y+1/2,z+1/2'
loop_
_atom_site_label
_atom_site_type_symbol
_atom_site_fract_x
_atom_site_fract_y
_atom_site_fract_z
_atom_site_occupancy
Li1 Li 0.000 0.060 0.000 1
Li2 Li 0.000 0.138 0.370 1
Li3 Li 0.000 0.287 0.080 1
Li4 Li 0.000 0.293 0.714 1
Li5 Li 0.000 0.406 0.225 1
Ac1 Ac 0.000 0.177 0.885 1
Ac2 Ac 0.000 0.471 0.840 1
Au1 Au 0.000 0.041 0.644 1
Au2 Au 0.000 0.238 0.401 1
Au3 Au 0.000 0.384 0.585 1
```

Output
formation energy from the elements = -44 kJ/mol of atoms
distance to the lowest polymorph of the same formula = 5.7 meV/atom



(5)
A plane-wave DFT calculation with PBE was carried out for an optimized crystal structure of Li3AcAu8.

```
data_Li3AcAu8
_cell_length_a 5.5421
_cell_length_b 5.5421
_cell_length_c 9.5280
_cell_angle_alpha 90.00
_cell_angle_beta 90.00
_cell_angle_gamma 120.00
_symmetry_space_group_name_H-M 'P 3 m 1'
_symmetry_Int_Tables_number 156
loop_
_symmetry_equiv_pos_as_xyz
'x,y,z'
'-y,x-y,z'
'-x+y,-x,z'
'-y,-x,z'
'-x+y,y,z'
'x,x-y,z'
loop_
_atom_site_label
_atom_site_type_symbol
_atom_site_fract_x
_atom_site_fract_y
_atom_site_fract_z
_atom_site_occupancy
Li1 Li 0.0000 0.0000 0.0000 1
Li2 Li 0.0000 0.0000 0.3250 1
Li3 Li 0.3333 0.6667 0.9687 1
Ac1 Ac 0.3333 0.6667 0.5443 1
Au1 Au 0.0030 0.5015 0.2288 1
Au2 Au 0.3287 0.1643 0.7417 1
Au3 Au 0.6667 0.3333 0.4816 1
Au4 Au 0.6667 0.3333 0.9843 1
```

Output
formation energy from the elements = -43 kJ/mol of atoms



(6)
A plane-wave DFT calculation with PBE was carried out for an optimized crystal structure of Li2AcAu.

```
data_Li2AcAu
_cell_length_a 4.859
_cell_length_b 5.957
_cell_length_c 6.701
_cell_angle_alpha 90.00
_cell_angle_beta 90.00
_cell_angle_gamma 90.00
_symmetry_space_group_name_H-M 'P m m n'
_symmetry_Int_Tables_number 59
loop_
_symmetry_equiv_pos_as_xyz
'x,y,z'
'-x,-y,-z'
'-x+1/2,-y+1/2,z'
'x+1/2,y+1/2,-z'
'x+1/2,-y,-z'
'-x+1/2,y,z'
'-x,y+1/2,-z'
'x,-y+1/2,z'
loop_
_atom_site_label
_atom_site_type_symbol
_atom_site_fract_x
_atom_site_fract_y
_atom_site_fract_z
_atom_site_occupancy
Li1 Li 0.250 0.016 0.096 1
Ac1 Ac 0.250 0.250 0.581 1
Au1 Au 0.250 0.750 0.759 1
```

Output
formation energy from the elements = -40 kJ/mol of atoms
distance to the lowest polymorph of the same formula = 0.0 meV/atom



(7)
A plane-wave DFT calculation with PBE was carried out for an optimized crystal structure of Li4AcAu2.

```
data_Li4AcAu2
_cell_length_a 8.156
_cell_length_b 8.156
_cell_length_c 4.379
_cell_angle_alpha 90.00
_cell_angle_beta 90.00
_cell_angle_gamma 90.00
_symmetry_space_group_name_H-M 'P 42/m n m'
_symmetry_Int_Tables_number 136
_symmetry_space_group_name_Hall '-P 4n 2n'
loop_
_atom_site_label
_atom_site_type_symbol
_atom_site_fract_x
_atom_site_fract_y
_atom_site_fract_z
_atom_site_occupancy
Li1 Li 0.093 0.349 0.000 1
Ac1 Ac 0.000 0.000 0.500 1
Au1 Au 0.215 0.785 0.000 1
```

Output
formation energy from the elements = -48 kJ/mol of atoms



(8)
A plane-wave DFT calculation with PBE was carried out for an optimized crystal structure of LiAcAu2.

```
data_LiAcAu2
_cell_length_a 7.087
_cell_length_b 11.238
_cell_length_c 4.852
_cell_angle_alpha 90.00
_cell_angle_beta 90.00
_cell_angle_gamma 90.00
_symmetry_space_group_name_H-M 'C m c m'
_symmetry_Int_Tables_number 63
_symmetry_space_group_name_Hall '-C 2c 2'
loop_
_atom_site_label
_atom_site_type_symbol
_atom_site_fract_x
_atom_site_fract_y
_atom_site_fract_z
_atom_site_occupancy
Li1 Li 0.000 0.109 0.250 1
Ac1 Ac 0.000 0.350 0.750 1
Au1 Au 0.209 0.088 0.750 1
```

Output
formation energy from the elements = -66 kJ/mol of atoms
distance to the lowest polymorph of the same formula = 54.4 meV/atom



(9)
A plane-wave DFT calculation with PBE was carried out for an optimized crystal structure of Li2Ac2Au15.

```
data_Li2Ac2Au15
_cell_length_a 9.6275
_cell_length_b 9.6275
_cell_length_c 14.6423
_cell_angle_alpha 90.00
_cell_angle_beta 90.00
_cell_angle_gamma 120.00
_symmetry_space_group_name_H-M 'R -3 m'
_symmetry_Int_Tables_number 166
_symmetry_space_group_name_Hall '-R 3 2"'
loop_
_atom_site_label
_atom_site_type_symbol
_atom_site_fract_x
_atom_site_fract_y
_atom_site_fract_z
_atom_site_occupancy
Li1 Li 0.0000 0.0000 0.0939 1
Ac1 Ac 0.0000 0.0000 0.3441 1
Au1 Au 0.0000 0.2992 0.0000 1
Au2 Au 0.0000 0.5000 0.5000 1
Au3 Au 0.0036 0.5018 0.1507 1
```

Output
formation energy from the elements = -41 kJ/mol of atoms



(10)
A plane-wave DFT calculation with PBE was carried out for an optimized crystal structure of LiAcAu2.

```
data_LiAcAu2
_cell_length_a 3.683
_cell_length_b 3.683
_cell_length_c 6.919
_cell_angle_alpha 90.00
_cell_angle_beta 90.00
_cell_angle_gamma 90.00
_symmetry_space_group_name_H-M 'P 4/m m m'
_symmetry_Int_Tables_number 123
_symmetry_space_group_name_Hall '-P 4 2'
loop_
_atom_site_label
_atom_site_type_symbol
_atom_site_fract_x
_atom_site_fract_y
_atom_site_fract_z
_atom_site_occupancy
Li1 Li 0.000 0.000 0.000 1
Ac1 Ac 0.000 0.000 0.500 1
Au1 Au 0.500 0.500 0.204 1
```

Output
formation energy from the elements = -58 kJ/mol of atoms
distance to the lowest polymorph of the same formula = 133.5 meV/atom



(11)
A plane-wave DFT calculation with PBE was carried out for an optimized crystal structure of Li3AcAu2.

```
data_Li3AcAu2
_cell_length_a 10.1837
_cell_length_b 10.1837
_cell_length_c 4.2892
_cell_angle_alpha 90.00
_cell_angle_beta 90.00
_cell_angle_gamma 120.00
_symmetry_space_group_name_H-M 'P 6/m m m'
_symmetry_Int_Tables_number 191
_symmetry_space_group_name_Hall '-P 6 2'
loop_
_atom_site_label
_atom_site_type_symbol
_atom_site_fract_x
_atom_site_fract_y
_atom_site_fract_z
_atom_site_occupancy
Li1 Li 0.0000 0.2924 0.0000 1
Li2 Li 0.0000 0.5000 0.5000 1
Ac1 Ac 0.0000 0.0000 0.5000 1
Ac2 Ac 0.3333 0.6667 0.0000 1
Au1 Au 0.1908 0.3816 0.5000 1
```

Output
formation energy from the elements = -51 kJ/mol of atoms
distance to the lowest polymorph of the same formula = 10.4 meV/atom



(12)
A plane-wave DFT calculation with PBE was carried out for an optimized crystal structure of Li2AcAu4.

```
data_Li2AcAu4
_cell_length_a 3.754
_cell_length_b 4.604
_cell_length_c 18.147
_cell_angle_alpha 90.00
_cell_angle_beta 90.00
_cell_angle_gamma 90.00
_symmetry_space_group_name_H-M 'I m m m'
_symmetry_Int_Tables_number 71
_symmetry_space_group_name_Hall '-I 2 2'
loop_
_atom_site_label
_atom_site_type_symbol
_atom_site_fract_x
_atom_site_fract_y
_atom_site_fract_z
_atom_site_occupancy
Li1 Li 0.000 0.000 0.190 1
Ac1 Ac 0.000 0.500 0.000 1
Au1 Au 0.000 0.000 0.336 1
Au2 Au 0.000 0.500 0.421 1
```

Output
formation energy from the elements = -52 kJ/mol of atoms
distance to the lowest polymorph of the same formula = 129.6 meV/atom